# 1
Here is a geometry-optimized Ho4SnPb structure from Alexandria. Energies are from PBE.

a = 9.0723 Å, b = 13.9041 Å, c = 6.3264 Å
α = 90.00°, β = 117.23°, γ = 90.00°
Space group C2/c (No. 15)
One atom of each set of equivalent atoms:
Ho 0.1145 0.1923 0.0802 x8
Ho 0.1933 0.4203 0.3052 x8
Sn 0.0000 0.3792 0.7500 x4
Pb 0.0000 0.0015 0.7500 x4

* energy: -4.7041 eV/atom
* ΔE_f: -0.367 eV/atom
* volume: 177 Å³/f.u.



# 2
Here is a geometry-optimized Pm8Ir3SeI4 structure from Alexandria. Energies are from PBE.

a = 8.5238 Å, b = 8.5238 Å, c = 23.8834 Å
α = 90.00°, β = 90.00°, γ = 120.00°
Space group R-3m (No. 166, hexagonal axes)
One atom of each set of equivalent atoms:
Pm 0.0000 0.0000 0.2278 x6
Pm 0.0207 0.5103 0.7711 x18
Ir 0.0000 0.5000 0.5000 x9
Se 0.0000 0.0000 0.5000 x3
I 0.0000 0.0000 0.0000 x3
I 0.0000 0.5000 0.0000 x9

* energy: -5.6987 eV/atom
* formation energy (no corrections): -1.057 eV/atom
* volume: 501 Å³/f.u.



# 3
Here is a geometry-optimized PaNbSi structure from Alexandria. Energies are from PBE.

a = 4.7097 Å, b = 4.7097 Å, c = 3.1230 Å
α = 90.00°, β = 90.00°, γ = 120.00°
Space group P-6m2 (No. 187)
One atom of each set of equivalent atoms:
Pa 0.0000 0.0000 0.0000 x1
Nb 0.3333 0.6667 0.5000 x1
Si 0.6667 0.3333 0.5000 x1

* energy: -8.3861 eV/atom
* formation energy (no corrections): -0.057 eV/atom
* volume: 60 Å³/f.u.



# 4
Here is a geometry-optimized CeEr6Tm12 structure from Alexandria. Energies are from PBE.

a = 13.0595 Å, b = 13.0595 Å, c = 12.1973 Å
α = 90.00°, β = 90.00°, γ = 120.00°
Space group R-3m (No. 166, hexagonal axes)
One atom of each set of equivalent atoms:
Ce 0.0000 0.0000 0.0000 x3
Er 0.0374 0.5187 0.6247 x18
Tm 0.0000 0.2567 0.5000 x18
Tm 0.0905 0.1810 0.2598 x18

* energy: -4.3582 eV/atom
* ΔE_f: 0.219 eV/atom
* volume: 601 Å³/f.u.